(w)
In2FeW, optimized geometry, DFT PBE; SG = Cmmm
1.0
5.137 0.054 0.000
-1.877 4.782 0.000
0.000 0.000 2.885
Fe In W
1 2 1
Direct
0.000 0.500 0.500
0.000 0.000 0.000
0.500 0.500 0.000
0.500 0.000 0.500

(x)
In2FeW, optimized geometry, DFT PBE; SG = I-42d
1.0
-6.772 -0.319 2.864
1.961 -5.872 3.981
-1.622 -1.453 5.459
Fe W In
2 2 4
Direct
0.500 0.500 0.000
0.250 0.750 0.500
0.000 0.000 0.000
0.750 0.250 0.500
0.594 0.125 0.250
0.156 0.625 0.250
0.375 0.406 0.750
0.875 0.844 0.750

Stability, lowest: (x)

(w)
In2FeW, optimized geometry, DFT PBE; SG = R3m
1.0
-6.137 -4.370 -5.475
-3.904 -3.896 -7.504
-3.806 -6.335 -5.667
Fe In W
1 2 1
Direct
0.758 0.758 0.758
0.010 0.010 0.010
0.244 0.244 0.244
0.488 0.488 0.488

(x)
In2FeW, optimized geometry, DFT PBE; SG = Immm
1.0
-0.922 0.903 -5.284
-5.230 0.119 -1.488
3.882 2.254 3.071
Fe In W
1 2 1
Direct
0.250 0.750 0.500
0.018 0.018 0.000
0.482 0.482 0.000
0.750 0.250 0.500

(y)
In2FeW, optimized geometry, DFT PBE; SG = C2/m
1.0
-2.223 -2.266 -3.838
0.495 -3.296 -3.701
-1.785 -4.402 2.293
Fe In W
1 2 1
Direct
0.750 0.750 0.750
0.006 0.006 0.995
0.494 0.494 0.505
0.250 0.250 0.250

(z)
In2FeW, optimized geometry, DFT PBE; SG = R-3m
1.0
9.371 0.041 0.024
8.882 2.987 0.024
8.882 1.473 2.598
Fe In W
1 2 1
Direct
0.750 0.750 0.750
0.004 0.004 0.004
0.496 0.496 0.496
0.250 0.250 0.250

Stability, lowest: (x)